1.
This record from the Alexandria database describes a geometry-optimized HfSc2Co structure. The functional is PBE.

Cell and atoms, written as CIF:
```
data_HfSc2Co
_symmetry_space_group_name_H-M 'P 1'
_symmetry_Int_Tables_number 1
_cell_length_a 9.949
_cell_length_b 9.949
_cell_length_c 9.949
_cell_angle_alpha 17.86
_cell_angle_beta 17.86
_cell_angle_gamma 17.86
loop_
_symmetry_equiv_pos_as_xyz
'x,y,z'
loop_
_atom_site_label
_atom_site_fract_x
_atom_site_fract_y
_atom_site_fract_z
_atom_site_occupancy
Sc1 0.104 0.104 0.104 1
Co1 0.500 0.500 0.500 1
Sc2 0.896 0.896 0.896 1
Hf1 0.000 0.000 0.000 1
```

Summary:
space-group type	R-3m, No. 166
ΔE to the lowest computed polymorph	409	meV/atom
ΔE_f	0.20	eV/atom
DOS(E_F)	5.6	states/eV/f.u.

***

2.
This record from the Alexandria database describes a geometry-optimized HfSc2Co3 structure. The functional is PBE.

Cell and atoms, written as CIF:
```
data_HfSc2Co3
_symmetry_space_group_name_H-M 'P 1'
_symmetry_Int_Tables_number 1
_cell_length_a 4.434
_cell_length_b 4.434
_cell_length_c 10.868
_cell_angle_alpha 90.00
_cell_angle_beta 90.00
_cell_angle_gamma 120.00
loop_
_symmetry_equiv_pos_as_xyz
'x,y,z'
loop_
_atom_site_label
_atom_site_fract_x
_atom_site_fract_y
_atom_site_fract_z
_atom_site_occupancy
Co1 0.333 0.667 0.416 1
Co2 0.667 0.333 0.584 1
Co3 0.000 0.000 0.746 1
Co4 0.667 0.333 0.087 1
Sc1 0.000 0.000 0.000 1
Sc2 0.000 0.000 0.500 1
Co5 0.000 0.000 0.254 1
Sc3 0.333 0.667 0.163 1
Sc4 0.667 0.333 0.837 1
Hf1 0.667 0.333 0.332 1
Co6 0.333 0.667 0.913 1
Hf2 0.333 0.667 0.668 1
```

Summary:
space-group type	P-3m1, No. 164
ΔE to the lowest computed polymorph	6	meV/atom
ΔE_f	-0.39	eV/atom
DOS(E_F)	3.0	states/eV/f.u.

***

3.
This record from the Alexandria database describes a geometry-optimized HfSc2Co4 structure. The functional is PBE.

Cell and atoms, written as CIF:
```
data_HfSc2Co4
_symmetry_space_group_name_H-M 'P 1'
_symmetry_Int_Tables_number 1
_cell_length_a 4.283
_cell_length_b 4.283
_cell_length_c 7.420
_cell_angle_alpha 73.22
_cell_angle_beta 73.22
_cell_angle_gamma 60.00
loop_
_symmetry_equiv_pos_as_xyz
'x,y,z'
loop_
_atom_site_label
_atom_site_fract_x
_atom_site_fract_y
_atom_site_fract_z
_atom_site_occupancy
Sc1 0.239 0.239 0.283 1
Co1 0.880 0.880 0.361 1
Sc2 0.761 0.761 0.717 1
Hf1 0.000 0.000 0.000 1
Co2 0.120 0.120 0.639 1
Co3 0.625 0.625 0.125 1
Co4 0.375 0.375 0.875 1
```

Summary:
space-group type	R-3m, No. 166
ΔE_f	0.02	eV/atom
DOS(E_F)	4.7	states/eV/f.u.

***

4.
This record from the Alexandria database describes a geometry-optimized HfSc2Co structure. The functional is PBE.

Cell and atoms, written as CIF:
```
data_HfSc2Co
_symmetry_space_group_name_H-M 'P 1'
_symmetry_Int_Tables_number 1
_cell_length_a 5.798
_cell_length_b 6.278
_cell_length_c 8.756
_cell_angle_alpha 90.00
_cell_angle_beta 90.00
_cell_angle_gamma 90.00
loop_
_symmetry_equiv_pos_as_xyz
'x,y,z'
loop_
_atom_site_label
_atom_site_fract_x
_atom_site_fract_y
_atom_site_fract_z
_atom_site_occupancy
Sc1 0.680 0.819 0.562 1
Sc2 0.180 0.681 0.438 1
Sc3 0.320 0.181 0.438 1
Hf1 0.129 0.965 0.750 1
Co1 0.463 0.894 0.250 1
Co2 0.537 0.106 0.750 1
Hf2 0.871 0.035 0.250 1
Co3 0.037 0.394 0.250 1
Hf3 0.629 0.535 0.250 1
Sc4 0.320 0.181 0.062 1
Sc5 0.180 0.681 0.062 1
Sc6 0.820 0.319 0.938 1
Hf4 0.371 0.465 0.750 1
Sc7 0.680 0.819 0.938 1
Sc8 0.820 0.319 0.562 1
Co4 0.963 0.606 0.750 1
```

Summary:
space-group type	Pnma, No. 62
ΔE to the lowest computed polymorph	0	meV/atom
ΔE_f	-0.21	eV/atom
DOS(E_F)	4.5	states/eV/f.u.

***

5.
This record from the Alexandria database describes a geometry-optimized HfSc2Co2 structure. The functional is PBE.

Cell and atoms, written as CIF:
```
data_HfSc2Co2
_symmetry_space_group_name_H-M 'P 1'
_symmetry_Int_Tables_number 1
_cell_length_a 3.076
_cell_length_b 3.120
_cell_length_c 9.553
_cell_angle_alpha 80.60
_cell_angle_beta 90.00
_cell_angle_gamma 90.00
loop_
_symmetry_equiv_pos_as_xyz
'x,y,z'
loop_
_atom_site_label
_atom_site_fract_x
_atom_site_fract_y
_atom_site_fract_z
_atom_site_occupancy
Sc1 0.000 0.167 0.666 1
Hf1 0.000 0.000 0.000 1
Sc2 0.000 0.833 0.334 1
Co1 0.500 0.582 0.835 1
Co2 0.500 0.418 0.165 1
```

Summary:
space-group type	Cmmm, No. 65
ΔE to the lowest computed polymorph	16	meV/atom
ΔE_f	-0.27	eV/atom
DOS(E_F)	4.8	states/eV/f.u.

***

6.
This record from the Alexandria database describes a geometry-optimized Hf3ScCo structure. The functional is PBE.

Cell and atoms, written as CIF:
```
data_Hf3ScCo
_symmetry_space_group_name_H-M 'P 1'
_symmetry_Int_Tables_number 1
_cell_length_a 4.881
_cell_length_b 4.881
_cell_length_c 4.881
_cell_angle_alpha 90.00
_cell_angle_beta 90.00
_cell_angle_gamma 90.00
loop_
_symmetry_equiv_pos_as_xyz
'x,y,z'
loop_
_atom_site_label
_atom_site_fract_x
_atom_site_fract_y
_atom_site_fract_z
_atom_site_occupancy
Hf1 0.000 0.000 0.500 1
Hf2 0.000 0.500 0.000 1
Sc1 0.000 0.000 0.000 1
Hf3 0.500 0.000 0.000 1
Co1 0.500 0.500 0.500 1
```

Summary:
space-group type	Pm-3m, No. 221
ΔE to the lowest computed polymorph	1718	meV/atom
ΔE_f	1.66	eV/atom
DOS(E_F)	3.7	states/eV/f.u.

***

7.
This record from the Alexandria database describes a geometry-optimized Hf2Sc2Co structure. The functional is PBE.

Cell and atoms, written as CIF:
```
data_Hf2Sc2Co
_symmetry_space_group_name_H-M 'P 1'
_symmetry_Int_Tables_number 1
_cell_length_a 6.478
_cell_length_b 6.478
_cell_length_c 5.028
_cell_angle_alpha 90.00
_cell_angle_beta 90.00
_cell_angle_gamma 90.00
loop_
_symmetry_equiv_pos_as_xyz
'x,y,z'
loop_
_atom_site_label
_atom_site_fract_x
_atom_site_fract_y
_atom_site_fract_z
_atom_site_occupancy
Hf1 0.344 0.844 0.000 1
Sc1 0.663 0.837 0.500 1
Sc2 0.163 0.663 0.500 1
Hf2 0.844 0.656 0.000 1
Sc3 0.337 0.163 0.500 1
Hf3 0.156 0.344 0.000 1
Sc4 0.837 0.337 0.500 1
Hf4 0.656 0.156 0.000 1
Co1 0.000 0.000 0.000 1
Co2 0.500 0.500 0.000 1
```

Summary:
space-group type	P4/mbm, No. 127
ΔE_f	0.04	eV/atom
DOS(E_F)	6.9	states/eV/f.u.

***

8.
This record from the Alexandria database describes a geometry-optimized HfSc3Co2 structure. The functional is PBE.

Cell and atoms, written as CIF:
```
data_HfSc3Co2
_symmetry_space_group_name_H-M 'P 1'
_symmetry_Int_Tables_number 1
_cell_length_a 6.074
_cell_length_b 6.419
_cell_length_c 7.587
_cell_angle_alpha 115.03
_cell_angle_beta 113.60
_cell_angle_gamma 90.00
loop_
_symmetry_equiv_pos_as_xyz
'x,y,z'
loop_
_atom_site_label
_atom_site_fract_x
_atom_site_fract_y
_atom_site_fract_z
_atom_site_occupancy
Sc1 0.768 0.518 0.536 1
Co1 0.420 0.637 0.273 1
Sc2 0.232 0.982 0.464 1
Co2 0.146 0.863 0.727 1
Sc3 0.768 0.018 0.536 1
Sc4 0.232 0.482 0.464 1
Hf1 0.000 0.000 0.000 1
Hf2 0.000 0.500 0.000 1
Co3 0.580 0.363 0.727 1
Sc5 0.500 0.250 0.000 1
Sc6 0.500 0.750 0.000 1
Co4 0.854 0.137 0.273 1
```

Summary:
space-group type	Ibam, No. 72
ΔE_f	-0.06	eV/atom
DOS(E_F)	6.5	states/eV/f.u.

***

9.
This record from the Alexandria database describes a geometry-optimized Hf4ScCo2 structure. The functional is PBE.

Cell and atoms, written as CIF:
```
data_Hf4ScCo2
_symmetry_space_group_name_H-M 'P 1'
_symmetry_Int_Tables_number 1
_cell_length_a 5.856
_cell_length_b 6.534
_cell_length_c 7.419
_cell_angle_alpha 109.09
_cell_angle_beta 90.00
_cell_angle_gamma 90.00
loop_
_symmetry_equiv_pos_as_xyz
'x,y,z'
loop_
_atom_site_label
_atom_site_fract_x
_atom_site_fract_y
_atom_site_fract_z
_atom_site_occupancy
Co1 0.750 0.719 0.995 1
Co2 0.750 0.405 0.421 1
Hf1 0.250 0.228 0.332 1
Co3 0.250 0.281 0.005 1
Hf2 0.496 0.606 0.232 1
Sc1 0.750 0.154 0.035 1
Hf3 0.750 0.042 0.411 1
Hf4 0.250 0.958 0.589 1
Hf5 0.504 0.394 0.768 1
Co4 0.250 0.595 0.579 1
Hf6 0.750 0.772 0.668 1
Hf7 0.004 0.606 0.232 1
Hf8 0.996 0.394 0.768 1
Sc2 0.250 0.846 0.965 1
```

Summary:
space-group type	P2_1/m, No. 11
ΔE_f	-0.15	eV/atom
DOS(E_F)	7.2	states/eV/f.u.

***

10.
This record from the Alexandria database describes a geometry-optimized Hf2ScCo3 structure. The functional is PBE.

Cell and atoms, written as CIF:
```
data_Hf2ScCo3
_symmetry_space_group_name_H-M 'P 1'
_symmetry_Int_Tables_number 1
_cell_length_a 3.143
_cell_length_b 3.143
_cell_length_c 9.451
_cell_angle_alpha 90.00
_cell_angle_beta 90.00
_cell_angle_gamma 90.00
loop_
_symmetry_equiv_pos_as_xyz
'x,y,z'
loop_
_atom_site_label
_atom_site_fract_x
_atom_site_fract_y
_atom_site_fract_z
_atom_site_occupancy
Co1 0.000 0.000 0.676 1
Hf1 0.500 0.500 0.168 1
Co2 0.000 0.000 0.000 1
Sc1 0.500 0.500 0.500 1
Hf2 0.500 0.500 0.832 1
Co3 0.000 0.000 0.324 1
```

Summary:
space-group type	P4/mmm, No. 123
ΔE_f	-0.40	eV/atom
DOS(E_F)	4.5	states/eV/f.u.

***

11.
This record from the Alexandria database describes a geometry-optimized Hf2ScCo4 structure. The functional is PBE.

Cell and atoms, written as CIF:
```
data_Hf2ScCo4
_symmetry_space_group_name_H-M 'P 1'
_symmetry_Int_Tables_number 1
_cell_length_a 5.266
_cell_length_b 5.266
_cell_length_c 5.266
_cell_angle_alpha 108.64
_cell_angle_beta 109.89
_cell_angle_gamma 109.89
loop_
_symmetry_equiv_pos_as_xyz
'x,y,z'
loop_
_atom_site_label
_atom_site_fract_x
_atom_site_fract_y
_atom_site_fract_z
_atom_site_occupancy
Co1 0.000 0.500 0.000 1
Co2 0.500 0.000 0.000 1
Hf1 0.500 0.500 0.000 1
Co3 0.000 0.000 0.500 1
Sc1 0.000 0.000 0.000 1
Hf2 0.500 0.000 0.500 1
Co4 0.500 0.500 0.500 1
```

Summary:
space-group type	I4/mmm, No. 139
ΔE_f	0.03	eV/atom
DOS(E_F)	4.8	states/eV/f.u.

***

12.
This record from the Alexandria database describes a geometry-optimized Hf3ScCo4 structure. The functional is PBE.

Cell and atoms, written as CIF:
```
data_Hf3ScCo4
_symmetry_space_group_name_H-M 'P 1'
_symmetry_Int_Tables_number 1
_cell_length_a 3.141
_cell_length_b 4.454
_cell_length_c 8.922
_cell_angle_alpha 90.00
_cell_angle_beta 90.00
_cell_angle_gamma 90.00
loop_
_symmetry_equiv_pos_as_xyz
'x,y,z'
loop_
_atom_site_label
_atom_site_fract_x
_atom_site_fract_y
_atom_site_fract_z
_atom_site_occupancy
Hf1 0.500 0.500 0.500 1
Sc1 0.500 0.500 0.000 1
Hf2 0.500 0.000 0.247 1
Co1 0.000 0.500 0.742 1
Co2 0.000 0.000 0.500 1
Co3 0.000 0.500 0.258 1
Hf3 0.500 0.000 0.753 1
Co4 0.000 0.000 0.000 1
```

Summary:
space-group type	Pmmm, No. 47
ΔE_f	-0.40	eV/atom
DOS(E_F)	6.8	states/eV/f.u.